Record 1
# SbRu3, relaxed, DFT GGA-PBE
data_SbRu3
_space_group_name_H-M_alt 'C m c m'
_space_group_IT_number 63
_space_group_name_Hall '-C 2c 2'
_cell_length_a 7.5223
_cell_length_b 8.5611
_cell_length_c 4.4456
_cell_angle_alpha 90.00
_cell_angle_beta 90.00
_cell_angle_gamma 90.00
loop_
_atom_site_label
_atom_site_type_symbol
_atom_site_fract_x
_atom_site_fract_y
_atom_site_fract_z
Sb1 Sb 0.0000 0.1213 0.2500
Ru1 Ru 0.0000 0.4352 0.2500
Ru2 Ru 0.1634 0.2862 0.7500
# - Energy relative to the elements, uncorrected: 485 meV per atom
# - Spin magnetization: 0.0001 μB/atom
# - E_tot: -7.50 eV/atom

=====

Record 2
# SbRu, relaxed, DFT GGA-PBE
data_SbRu
_space_group_name_H-M_alt 'P -3 m 1'
_space_group_IT_number 164
_space_group_name_Hall '-P 3 2"'
_cell_length_a 3.1332
_cell_length_b 3.1332
_cell_length_c 9.8937
_cell_angle_alpha 90.00
_cell_angle_beta 90.00
_cell_angle_gamma 120.00
loop_
_atom_site_label
_atom_site_type_symbol
_atom_site_fract_x
_atom_site_fract_y
_atom_site_fract_z
Sb1 Sb 0.3333 0.6667 0.1950
Ru1 Ru 0.3333 0.6667 0.6026
# - Energy relative to the elements, uncorrected: 281 meV per atom
# - Spin magnetization: 0.0943 μB/atom
# - E_tot: -6.42 eV/atom

=====

Record 3
# SbRu, relaxed, DFT GGA-PBE
data_SbRu
_space_group_name_H-M_alt 'P -6 m 2'
_space_group_IT_number 187
_space_group_name_Hall 'P -6 2'
_cell_length_a 3.3337
_cell_length_b 3.3337
_cell_length_c 3.8361
_cell_angle_alpha 90.00
_cell_angle_beta 90.00
_cell_angle_gamma 120.00
loop_
_atom_site_label
_atom_site_type_symbol
_atom_site_fract_x
_atom_site_fract_y
_atom_site_fract_z
Sb1 Sb 0.0000 0.0000 0.0000
Ru1 Ru 0.6667 0.3333 0.5000
# - Energy relative to the elements, uncorrected: 143 meV per atom
# - Spin magnetization: 0.0001 μB/atom
# - E_tot: -6.56 eV/atom

=====

Record 4
# SbRu3, relaxed, DFT GGA-PBE
data_SbRu3
_space_group_name_H-M_alt 'C 1 2/m 1'
_space_group_IT_number 12
_cell_length_a 9.0668
_cell_length_b 2.9288
_cell_length_c 4.7653
_cell_angle_alpha 90.00
_cell_angle_beta 100.80
_cell_angle_gamma 90.00
loop_
_space_group_symop_operation_xyz
'x,y,z'
'-x,-y,-z'
'-x,y,-z'
'x,-y,z'
'x+1/2,y+1/2,z'
'-x+1/2,-y+1/2,-z'
'-x+1/2,y+1/2,-z'
'x+1/2,-y+1/2,z'
loop_
_atom_site_label
_atom_site_type_symbol
_atom_site_fract_x
_atom_site_fract_y
_atom_site_fract_z
Sb1 Sb 0.0000 0.0000 0.0000
Ru1 Ru 0.0000 0.5000 0.5000
Ru2 Ru 0.2441 0.0000 0.7301
# - Energy relative to the elements, uncorrected: 188 meV per atom
# - Spin magnetization: 0.0000 μB/atom
# - E_tot: -7.80 eV/atom

=====

Record 5
# SbRu, relaxed, DFT GGA-PBE
data_SbRu
_space_group_name_H-M_alt 'I 4/m'
_space_group_IT_number 87
_space_group_name_Hall '-I 4'
_cell_length_a 10.4893
_cell_length_b 10.4893
_cell_length_c 4.0569
_cell_angle_alpha 90.00
_cell_angle_beta 90.00
_cell_angle_gamma 90.00
loop_
_atom_site_label
_atom_site_type_symbol
_atom_site_fract_x
_atom_site_fract_y
_atom_site_fract_z
Sb1 Sb 0.0514 0.2931 0.0000
Ru1 Ru 0.1897 0.7119 0.0000
# - Energy relative to the elements, uncorrected: 348 meV per atom
# - Spin magnetization: 0.0000 μB/atom
# - E_tot: -6.35 eV/atom

=====

Record 6
# Sb3Ru, relaxed, DFT GGA-PBE
data_Sb3Ru
_space_group_name_H-M_alt 'P 63 2 2'
_space_group_IT_number 182
_space_group_name_Hall 'P 6c 2c'
_cell_length_a 6.7214
_cell_length_b 6.7214
_cell_length_c 5.1870
_cell_angle_alpha 90.00
_cell_angle_beta 90.00
_cell_angle_gamma 120.00
loop_
_atom_site_label
_atom_site_type_symbol
_atom_site_fract_x
_atom_site_fract_y
_atom_site_fract_z
Sb1 Sb 0.0000 0.3264 0.0000
Ru1 Ru 0.3333 0.6667 0.2500
# - ΔE to the lowest computed polymorph: 81 meV/atom
# - Energy relative to the elements, uncorrected: 79 meV per atom
# - Spin magnetization: 0.0000 μB/atom
# - E_tot: -5.33 eV/atom

=====

Record 7
# SbRu3, relaxed, DFT GGA-PBE
data_SbRu3
_space_group_name_H-M_alt 'R -3 m'
_space_group_IT_number 166
_space_group_name_Hall '-R 3 2"'
_cell_length_a 2.9303
_cell_length_b 2.9303
_cell_length_c 25.5820
_cell_angle_alpha 90.00
_cell_angle_beta 90.00
_cell_angle_gamma 120.00
loop_
_atom_site_label
_atom_site_type_symbol
_atom_site_fract_x
_atom_site_fract_y
_atom_site_fract_z
Sb1 Sb 0.0000 0.0000 0.0000
Ru1 Ru 0.0000 0.0000 0.2486
Ru2 Ru 0.0000 0.0000 0.5000
# - Energy relative to the elements, uncorrected: 422 meV per atom
# - Spin magnetization: 0.0002 μB/atom
# - E_tot: -7.57 eV/atom

=====

Record 8
# SbRu, relaxed, DFT GGA-PBE
data_SbRu
_space_group_name_H-M_alt 'F d d d'
_space_group_IT_number 70
_cell_length_a 7.2844
_cell_length_b 9.7497
_cell_length_c 12.8119
_cell_angle_alpha 90.00
_cell_angle_beta 90.00
_cell_angle_gamma 90.00
loop_
_space_group_symop_operation_xyz
'x,y,z'
'-x,-y,-z'
'-x+1/4,-y+1/4,z'
'x+1/4,y+1/4,-z'
'x,-y+1/4,-z+1/4'
'-x,y+1/4,z+1/4'
'-x+1/4,y,-z+1/4'
'x+1/4,-y,z+1/4'
'x,y+1/2,z+1/2'
'-x,-y+1/2,-z+1/2'
'-x+1/4,-y+3/4,z+1/2'
'x+1/4,y+3/4,-z+1/2'
'x,-y+3/4,-z+3/4'
'-x,y+3/4,z+3/4'
'-x+1/4,y+1/2,-z+3/4'
'x+1/4,-y+1/2,z+3/4'
'x+1/2,y,z+1/2'
'-x+1/2,-y,-z+1/2'
'-x+3/4,-y+1/4,z+1/2'
'x+3/4,y+1/4,-z+1/2'
'x+1/2,-y+1/4,-z+3/4'
'-x+1/2,y+1/4,z+3/4'
'-x+3/4,y,-z+3/4'
'x+3/4,-y,z+3/4'
'x+1/2,y+1/2,z'
'-x+1/2,-y+1/2,-z'
'-x+3/4,-y+3/4,z'
'x+3/4,y+3/4,-z'
'x+1/2,-y+3/4,-z+1/4'
'-x+1/2,y+3/4,z+1/4'
'-x+3/4,y+1/2,-z+1/4'
'x+3/4,-y+1/2,z+1/4'
loop_
_atom_site_label
_atom_site_type_symbol
_atom_site_fract_x
_atom_site_fract_y
_atom_site_fract_z
Sb1 Sb 0.1250 0.3408 0.1250
Ru1 Ru 0.1250 0.1250 0.0076
# - Energy relative to the elements, uncorrected: 278 meV per atom
# - Spin magnetization: 0.0000 μB/atom
# - E_tot: -6.42 eV/atom

=====

Record 9
# SbRu, relaxed, DFT GGA-PBE
data_SbRu
_space_group_name_H-M_alt 'P m -3 n'
_space_group_IT_number 223
_space_group_name_Hall '-P 4n 2 3'
_cell_length_a 7.2273
_cell_length_b 7.2273
_cell_length_c 7.2273
_cell_angle_alpha 90.00
_cell_angle_beta 90.00
_cell_angle_gamma 90.00
loop_
_atom_site_label
_atom_site_type_symbol
_atom_site_fract_x
_atom_site_fract_y
_atom_site_fract_z
Sb1 Sb 0.0000 0.2500 0.5000
Ru1 Ru 0.0000 0.5000 0.2500
# - Energy relative to the elements, uncorrected: 626 meV per atom
# - Spin magnetization: 0.0000 μB/atom
# - E_tot: -6.07 eV/atom

=====

Record 10
# SbRu3, relaxed, DFT GGA-PBE
data_SbRu3
_space_group_name_H-M_alt 'P 1 2/m 1'
_space_group_IT_number 10
_cell_length_a 2.8809
_cell_length_b 4.0672
_cell_length_c 5.4867
_cell_angle_alpha 90.00
_cell_angle_beta 101.01
_cell_angle_gamma 90.00
loop_
_space_group_symop_operation_xyz
'x,y,z'
'-x,-y,-z'
'-x,y,-z'
'x,-y,z'
loop_
_atom_site_label
_atom_site_type_symbol
_atom_site_fract_x
_atom_site_fract_y
_atom_site_fract_z
Sb1 Sb 0.0000 0.0000 0.0000
Ru1 Ru 0.0000 0.0000 0.5000
Ru2 Ru 0.4005 0.5000 0.2619
# - Energy relative to the elements, uncorrected: 267 meV per atom
# - Spin magnetization: 0.0000 μB/atom
# - E_tot: -7.72 eV/atom

=====

Record 11
# Sb3Ru, relaxed, DFT GGA-PBE
data_Sb3Ru
_space_group_name_H-M_alt 'P m -3 n'
_space_group_IT_number 223
_space_group_name_Hall '-P 4n 2 3'
_cell_length_a 5.6788
_cell_length_b 5.6788
_cell_length_c 5.6788
_cell_angle_alpha 90.00
_cell_angle_beta 90.00
_cell_angle_gamma 90.00
loop_
_atom_site_label
_atom_site_type_symbol
_atom_site_fract_x
_atom_site_fract_y
_atom_site_fract_z
Sb1 Sb 0.0000 0.2500 0.5000
Ru1 Ru 0.0000 0.0000 0.0000
# - ΔE to the lowest computed polymorph: 509 meV/atom
# - Energy relative to the elements, uncorrected: 507 meV per atom
# - Spin magnetization: 0.0000 μB/atom
# - E_tot: -4.90 eV/atom

=====

Record 12
# Sb2Ru, relaxed, DFT GGA-PBE
data_Sb2Ru
_space_group_name_H-M_alt 'P 6/m m m'
_space_group_IT_number 191
_space_group_name_Hall '-P 6 2'
_cell_length_a 5.0527
_cell_length_b 5.0527
_cell_length_c 2.9869
_cell_angle_alpha 90.00
_cell_angle_beta 90.00
_cell_angle_gamma 120.00
loop_
_atom_site_label
_atom_site_type_symbol
_atom_site_fract_x
_atom_site_fract_y
_atom_site_fract_z
Sb1 Sb 0.3333 0.6667 0.0000
Ru1 Ru 0.0000 0.0000 0.5000
# - Energy relative to the elements, uncorrected: 828 meV per atom
# - Spin magnetization: 0.3825 μB/atom
# - E_tot: -5.01 eV/atom

=====

Record 13
# SbRu3, relaxed, DFT GGA-PBE
data_SbRu3
_space_group_name_H-M_alt 'I 4/m m m'
_space_group_IT_number 139
_space_group_name_Hall '-I 4 2'
_cell_length_a 3.9665
_cell_length_b 3.9665
_cell_length_c 7.7867
_cell_angle_alpha 90.00
_cell_angle_beta 90.00
_cell_angle_gamma 90.00
loop_
_atom_site_label
_atom_site_type_symbol
_atom_site_fract_x
_atom_site_fract_y
_atom_site_fract_z
Sb1 Sb 0.0000 0.0000 0.0000
Ru1 Ru 0.0000 0.0000 0.5000
Ru2 Ru 0.0000 0.5000 0.2500
# - Energy relative to the elements, uncorrected: 111 meV per atom
# - Spin magnetization: 0.0000 μB/atom
# - E_tot: -7.88 eV/atom

=====

Record 14
# Sb5Ru, relaxed, DFT GGA-PBE
data_Sb5Ru
_space_group_name_H-M_alt 'P 6/m m m'
_space_group_IT_number 191
_space_group_name_Hall '-P 6 2'
_cell_length_a 5.9477
_cell_length_b 5.9477
_cell_length_c 5.6388
_cell_angle_alpha 90.00
_cell_angle_beta 90.00
_cell_angle_gamma 120.00
loop_
_atom_site_label
_atom_site_type_symbol
_atom_site_fract_x
_atom_site_fract_y
_atom_site_fract_z
Sb1 Sb 0.0000 0.5000 0.0000
Sb2 Sb 0.3333 0.6667 0.5000
Ru1 Ru 0.0000 0.0000 0.5000
# - ΔE to the lowest computed polymorph: 892 meV/atom
# - Energy relative to the elements, uncorrected: 943 meV per atom
# - Spin magnetization: 0.4595 μB/atom
# - E_tot: -4.04 eV/atom

=====

Record 15
# Sb3Ru2, relaxed, DFT GGA-PBE
data_Sb3Ru2
_space_group_name_H-M_alt 'P -3 m 1'
_space_group_IT_number 164
_space_group_name_Hall '-P 3 2"'
_cell_length_a 4.4700
_cell_length_b 4.4700
_cell_length_c 5.9656
_cell_angle_alpha 90.00
_cell_angle_beta 90.00
_cell_angle_gamma 120.00
loop_
_atom_site_label
_atom_site_type_symbol
_atom_site_fract_x
_atom_site_fract_y
_atom_site_fract_z
Sb1 Sb 0.0000 0.0000 0.0000
Sb2 Sb 0.3333 0.6667 0.3410
Ru1 Ru 0.3333 0.6667 0.8465
# - ΔE to the lowest computed polymorph: 0 meV/atom
# - Energy relative to the elements, uncorrected: 24 meV per atom
# - Spin magnetization: 0.0000 μB/atom
# - E_tot: -6.16 eV/atom

=====

Record 16
# Sb3Ru, relaxed, DFT GGA-PBE
data_Sb3Ru
_space_group_name_H-M_alt 'P 4/m m m'
_space_group_IT_number 123
_space_group_name_Hall '-P 4 2'
_cell_length_a 5.0837
_cell_length_b 5.0837
_cell_length_c 3.4576
_cell_angle_alpha 90.00
_cell_angle_beta 90.00
_cell_angle_gamma 90.00
loop_
_atom_site_label
_atom_site_type_symbol
_atom_site_fract_x
_atom_site_fract_y
_atom_site_fract_z
Sb1 Sb 0.0000 0.0000 0.0000
Sb2 Sb 0.0000 0.5000 0.5000
Ru1 Ru 0.5000 0.5000 0.0000
# - ΔE to the lowest computed polymorph: 543 meV/atom
# - Energy relative to the elements, uncorrected: 541 meV per atom
# - Spin magnetization: 0.0004 μB/atom
# - E_tot: -4.87 eV/atom

=====

Record 17
# Sb3Ru, relaxed, DFT GGA-PBE
data_Sb3Ru
_space_group_name_H-M_alt 'F m -3 m'
_space_group_IT_number 225
_space_group_name_Hall '-F 4 2 3'
_cell_length_a 7.0794
_cell_length_b 7.0794
_cell_length_c 7.0794
_cell_angle_alpha 90.00
_cell_angle_beta 90.00
_cell_angle_gamma 90.00
loop_
_atom_site_label
_atom_site_type_symbol
_atom_site_fract_x
_atom_site_fract_y
_atom_site_fract_z
Sb1 Sb 0.0000 0.0000 0.0000
Sb2 Sb 0.2500 0.2500 0.2500
Ru1 Ru 0.0000 0.0000 0.5000
# - ΔE to the lowest computed polymorph: 502 meV/atom
# - Energy relative to the elements, uncorrected: 500 meV per atom
# - Spin magnetization: 0.0002 μB/atom
# - E_tot: -4.91 eV/atom

=====

Record 18
# Sb2Ru, relaxed, DFT GGA-PBE
data_Sb2Ru
_space_group_name_H-M_alt 'I 41/a m d'
_space_group_IT_number 141
_cell_length_a 3.2379
_cell_length_b 3.2379
_cell_length_c 25.8354
_cell_angle_alpha 90.00
_cell_angle_beta 90.00
_cell_angle_gamma 90.00
loop_
_space_group_symop_operation_xyz
'x,y,z'
'-x,-y,-z'
'-y+1/4,x+3/4,z+1/4'
'y+1/4,-x+3/4,-z+1/4'
'-x+1/2,-y,z+1/2'
'x+1/2,y,-z+1/2'
'y+1/4,-x+1/4,z+3/4'
'-y+1/4,x+1/4,-z+3/4'
'x,-y,-z'
'-x,y,z'
'-y+1/4,-x+1/4,-z+3/4'
'y+1/4,x+1/4,z+3/4'
'-x+1/2,y,-z+1/2'
'x+1/2,-y,z+1/2'
'y+1/4,x+3/4,-z+1/4'
'-y+1/4,-x+3/4,z+1/4'
'x+1/2,y+1/2,z+1/2'
'-x+1/2,-y+1/2,-z+1/2'
'-y+3/4,x+1/4,z+3/4'
'y+3/4,-x+1/4,-z+3/4'
'-x,-y+1/2,z'
'x,y+1/2,-z'
'y+3/4,-x+3/4,z+1/4'
'-y+3/4,x+3/4,-z+1/4'
'x+1/2,-y+1/2,-z+1/2'
'-x+1/2,y+1/2,z+1/2'
'-y+3/4,-x+3/4,-z+1/4'
'y+3/4,x+3/4,z+1/4'
'-x,y+1/2,-z'
'x,-y+1/2,z'
'y+3/4,x+1/4,-z+3/4'
'-y+3/4,-x+1/4,z+3/4'
loop_
_atom_site_label
_atom_site_type_symbol
_atom_site_fract_x
_atom_site_fract_y
_atom_site_fract_z
Sb1 Sb 0.0000 0.2500 0.3111
Ru1 Ru 0.0000 0.2500 0.8750
# - Energy relative to the elements, uncorrected: -20 meV per atom
# - Spin magnetization: 0.1773 μB/atom
# - E_tot: -5.86 eV/atom

=====

Record 19
# Sb3Ru, relaxed, DFT GGA-PBE
data_Sb3Ru
_space_group_name_H-M_alt 'C m c m'
_space_group_IT_number 63
_space_group_name_Hall '-C 2c 2'
_cell_length_a 8.2334
_cell_length_b 13.3582
_cell_length_c 4.1095
_cell_angle_alpha 90.00
_cell_angle_beta 90.00
_cell_angle_gamma 90.00
loop_
_atom_site_label
_atom_site_type_symbol
_atom_site_fract_x
_atom_site_fract_y
_atom_site_fract_z
Sb1 Sb 0.0000 0.0851 0.2500
Sb2 Sb 0.2466 0.3391 0.2500
Ru1 Ru 0.0000 0.4584 0.2500
# - ΔE to the lowest computed polymorph: 360 meV/atom
# - Energy relative to the elements, uncorrected: 358 meV per atom
# - Spin magnetization: 0.0000 μB/atom
# - E_tot: -5.05 eV/atom

=====

Record 20
# Sb6Ru7, relaxed, DFT GGA-PBE
data_Sb6Ru7
_space_group_name_H-M_alt 'R -3 m'
_space_group_IT_number 166
_space_group_name_Hall '-R 3 2"'
_cell_length_a 5.6314
_cell_length_b 5.6314
_cell_length_c 26.7411
_cell_angle_alpha 90.00
_cell_angle_beta 90.00
_cell_angle_gamma 120.00
loop_
_atom_site_label
_atom_site_type_symbol
_atom_site_fract_x
_atom_site_fract_y
_atom_site_fract_z
Sb1 Sb 0.0000 0.0000 0.0602
Sb2 Sb 0.0000 0.0000 0.1772
Sb3 Sb 0.0000 0.0000 0.3322
Ru1 Ru 0.0000 0.0000 0.5000
Ru2 Ru 0.0086 0.5043 0.0792
# - Energy relative to the elements, uncorrected: 240 meV per atom
# - Spin magnetization: 0.1422 μB/atom
# - E_tot: -6.66 eV/atom